First-principles (GGA-PBEsol) data for an optimized crystal structure of TlGaO2, as listed in Alexandria via LeMat-Bulk.

Values from the calculation:
Uncorrected energy, eV per atom: -5.50
ΔE_f (raw), meV per atom: -1381.6
M_tot, μB/cell: 0.00

Cell: 5.600 5.600 5.600 Å, 119.07 119.07 91.62°
Atoms (fractional coordinates):
Tl  0.000  0.000  0.000
Tl  0.750  0.250  0.500
Ga  0.250  0.750  0.500
Ga  0.500  0.500  0.000
O  0.256  0.625  0.131
O  0.375  0.506  0.631
O  0.494  0.125  0.869
O  0.875  0.744  0.369